Below is a relaxed Li6LaSn6 crystal, with properties calculated at the GGA-PBE level.

Cell lengths 5.9113, 9.5361, 9.8703 Å; angles 90.00, 90.00, 90.00 degrees
With the nearest neighbours (Å) after each atom.
Space group Immm (No. 71)
One atom of each set of equivalent atoms:
Li1 0.0000 0.2463 0.0000 x4  4 Li 2.88, 6 Sn 2.88-3.11
Li2 0.2500 0.2500 0.2500 x8  4 Li 2.88-2.96, 6 Sn 2.91-3.03
La1 0.0000 0.5000 0.5000 x2  8 Sn 3.32-3.41
Sn1 0.0000 0.0000 0.1720 x4  6 Li 2.90-2.91
Sn2 0.0000 0.1515 0.5000 x4  1 Sn 2.89, 6 Li 3.03-3.11
Sn3 0.0000 0.5000 0.1584 x4  6 Li 2.88-2.95, 1 Sn 3.13

Calculated values
Its calculated total energy is -0.2584 Ry/atom. The value obtained for the energy of formation from the pure elements is -406.1 meV per atom. Its total magnetic moment is 0.0000 μB/atom.